1.
VASP calculation (meta-GGA SCAN) on a crystal of ZnIn2Rh relaxed with PBEsol.

Lattice parameters (Å, degrees): 3.4820 3.4820 5.6829 90.00 90.00 90.00
Element x y z (fractional)
Zn: 0.0000 0.0000 0.0000
In: 0.5000 0.5000 0.2557
In: 0.5000 0.5000 0.7443
Rh: 0.0000 0.0000 0.5000

2.
VASP calculation (meta-GGA SCAN) on a crystal of ZnIn2Rh relaxed with PBEsol.

Lattice parameters (Å, degrees): 5.0851 5.0851 5.0851 134.09 133.16 67.67
Element x y z (fractional)
Zn: 0.0000 0.0000 0.0000
In: 0.4958 0.4958 0.0000
In: 0.7483 0.2483 0.5000
Rh: 0.2449 0.7449 0.5000

3.
VASP calculation (meta-GGA SCAN) on a crystal of ZnInRh2 relaxed with PBEsol.

Lattice parameters (Å, degrees): 4.8578 4.8578 4.8578 133.36 133.36 68.09
Element x y z (fractional)
Zn: 0.0000 0.0000 0.0000
In: 0.7500 0.2500 0.5000
Rh: 0.2500 0.7500 0.5000
Rh: 0.5000 0.5000 0.0000

Short version: formation enthalpy at 0 K = -0.17, -0.14, -0.18 eV per atom, in the order given.